# HoRh

Crystalline HoRh at its relaxed geometry (GGA-PBEsol, Alexandria via LeMat-Bulk).

## Properties
Space group: Pm-3m
Formation energy from the elements in eV per atom: -0.867
E in eV per atom: -7.41

a = 3.352 Å, b = 3.352 Å, c = 3.352 Å
α = 90.00°, β = 90.00°, γ = 90.00°
Element x y z (fractional)
Ho 0.000 0.000 0.000
Rh 0.500 0.500 0.500